[1]
A geometry-optimized BaPtAu2 structure. Source: the Alexandria database, functional GGA-PBE.

Structure (CIF):
```
data_BaPtAu2
_chemical_formula_sum 'Ba1 Pt1 Au2'
_space_group_name_H-M_alt 'P 1'
_space_group_IT_number 1
_space_group_name_Hall 'P 1'
_cell_length_a 4.499
_cell_length_b 4.651
_cell_length_c 5.431
_cell_angle_alpha 90.00
_cell_angle_beta 90.00
_cell_angle_gamma 90.00
loop_
_atom_site_label
_atom_site_type_symbol
_atom_site_fract_x
_atom_site_fract_y
_atom_site_fract_z
_atom_site_occupancy
Ba1 Ba 0.000 0.000 0.000 1
Pt1 Pt 0.500 0.500 0.778 1
Au1 Au 0.500 0.000 0.531 1
Au2 Au 0.500 0.500 0.262 1
```

Calculated values
For the total energy, the calculation gives -4.1015 eV/atom. For the energy of formation from the pure elements, the calculation gives -0.472 eV/atom. The offset from the most stable computed form comes out at 0.044 eV per atom. As for the calculated volume: 28.41 A^3/atom. The total magnetic moment is 0.00 μB/cell. The space group is Pmm2 (25).

***

[2]
A geometry-optimized BaPt5Au7 structure. Source: the Alexandria database, functional GGA-PBE.

Structure (CIF):
```
data_BaPt5Au7
_chemical_formula_sum 'Ba1 Pt5 Au7'
_space_group_name_H-M_alt 'P 1'
_space_group_IT_number 1
_space_group_name_Hall 'P 1'
_cell_length_a 7.247
_cell_length_b 7.247
_cell_length_c 7.247
_cell_angle_alpha 134.72
_cell_angle_beta 98.79
_cell_angle_gamma 98.25
loop_
_atom_site_label
_atom_site_type_symbol
_atom_site_fract_x
_atom_site_fract_y
_atom_site_fract_z
_atom_site_occupancy
Ba1 Ba 0.000 0.000 0.000 1
Pt1 Pt 0.238 0.738 0.500 1
Pt2 Pt 0.494 0.496 0.497 1
Pt3 Pt 0.494 0.996 0.997 1
Pt4 Pt 0.999 0.496 0.003 1
Pt5 Pt 0.999 0.996 0.503 1
Au1 Au 0.219 0.497 0.722 1
Au2 Au 0.340 0.340 0.000 1
Au3 Au 0.344 0.998 0.346 1
Au4 Au 0.652 0.998 0.654 1
Au5 Au 0.656 0.656 0.000 1
Au6 Au 0.771 0.271 0.500 1
Au7 Au 0.776 0.497 0.278 1
```

Calculated values
For the total energy, the calculation gives -4.4373 eV/atom. For the energy of formation from the pure elements, the calculation gives -0.201 eV/atom. As for the calculated volume: 19.20 A^3/atom. The total magnetic moment is 0.00 μB/cell. The space group is Imm2 (44).

***

[3]
A geometry-optimized Ba5Pt2Au5 structure. Source: the Alexandria database, functional GGA-PBE.

Structure (CIF):
```
data_Ba5Pt2Au5
_chemical_formula_sum 'Ba5 Pt2 Au5'
_space_group_name_H-M_alt 'P 1'
_space_group_IT_number 1
_space_group_name_Hall 'P 1'
_cell_length_a 8.785
_cell_length_b 8.785
_cell_length_c 12.672
_cell_angle_alpha 129.19
_cell_angle_beta 129.19
_cell_angle_gamma 30.47
loop_
_atom_site_label
_atom_site_type_symbol
_atom_site_fract_x
_atom_site_fract_y
_atom_site_fract_z
_atom_site_occupancy
Ba1 Ba 0.000 0.000 0.000 1
Ba2 Ba 0.301 0.301 0.414 1
Ba3 Ba 0.381 0.381 0.181 1
Ba4 Ba 0.619 0.619 0.819 1
Ba5 Ba 0.699 0.699 0.586 1
Pt1 Pt 0.387 0.387 0.739 1
Pt2 Pt 0.613 0.613 0.261 1
Au1 Au 0.000 0.000 0.500 1
Au2 Au 0.061 0.061 0.332 1
Au3 Au 0.292 0.292 0.854 1
Au4 Au 0.708 0.708 0.146 1
Au5 Au 0.939 0.939 0.668 1
```

Calculated values
For the total energy, the calculation gives -3.8813 eV/atom. For the energy of formation from the pure elements, the calculation gives -0.708 eV/atom. As for the calculated volume: 31.23 A^3/atom. The total magnetic moment is 0.00 μB/cell. The space group is C2/m (12).

***

[4]
A geometry-optimized Ba2Pt2Au structure. Source: the Alexandria database, functional GGA-PBE.

Structure (CIF):
```
data_Ba2Pt2Au
_chemical_formula_sum 'Ba4 Pt4 Au2'
_space_group_name_H-M_alt 'P 1'
_space_group_IT_number 1
_space_group_name_Hall 'P 1'
_cell_length_a 8.776
_cell_length_b 8.776
_cell_length_c 4.231
_cell_angle_alpha 90.00
_cell_angle_beta 90.00
_cell_angle_gamma 90.00
loop_
_atom_site_label
_atom_site_type_symbol
_atom_site_fract_x
_atom_site_fract_y
_atom_site_fract_z
_atom_site_occupancy
Ba1 Ba 0.177 0.323 0.000 1
Ba2 Ba 0.323 0.823 0.000 1
Ba3 Ba 0.677 0.177 0.000 1
Ba4 Ba 0.823 0.677 0.000 1
Pt1 Pt 0.104 0.604 0.500 1
Pt2 Pt 0.396 0.104 0.500 1
Pt3 Pt 0.604 0.896 0.500 1
Pt4 Pt 0.896 0.396 0.500 1
Au1 Au 0.000 0.000 0.000 1
Au2 Au 0.500 0.500 0.000 1
```

Calculated values
For the total energy, the calculation gives -4.1615 eV/atom. For the energy of formation from the pure elements, the calculation gives -0.321 eV/atom. The offset from the most stable computed form comes out at 0.399 eV per atom. As for the calculated volume: 32.59 A^3/atom. The total magnetic moment is 2.00 μB/cell. The space group is P4/mbm (127).

***

[5]
A geometry-optimized Ba6PtAu2 structure. Source: the Alexandria database, functional GGA-PBE.

Structure (CIF):
```
data_Ba6PtAu2
_chemical_formula_sum 'Ba12 Pt2 Au4'
_space_group_name_H-M_alt 'P 1'
_space_group_IT_number 1
_space_group_name_Hall 'P 1'
_cell_length_a 7.932
_cell_length_b 8.578
_cell_length_c 13.772
_cell_angle_alpha 90.00
_cell_angle_beta 120.17
_cell_angle_gamma 90.00
loop_
_atom_site_label
_atom_site_type_symbol
_atom_site_fract_x
_atom_site_fract_y
_atom_site_fract_z
_atom_site_occupancy
Ba1 Ba 0.076 0.055 0.241 1
Ba2 Ba 0.076 0.445 0.741 1
Ba3 Ba 0.252 0.689 0.083 1
Ba4 Ba 0.252 0.811 0.583 1
Ba5 Ba 0.382 0.179 0.064 1
Ba6 Ba 0.382 0.321 0.564 1
Ba7 Ba 0.618 0.679 0.436 1
Ba8 Ba 0.618 0.821 0.936 1
Ba9 Ba 0.748 0.189 0.417 1
Ba10 Ba 0.748 0.311 0.917 1
Ba11 Ba 0.924 0.555 0.259 1
Ba12 Ba 0.924 0.945 0.759 1
Pt1 Pt 0.000 0.000 0.000 1
Pt2 Pt 0.000 0.500 0.500 1
Au1 Au 0.326 0.112 0.774 1
Au2 Au 0.326 0.388 0.274 1
Au3 Au 0.674 0.612 0.726 1
Au4 Au 0.674 0.888 0.226 1
```

Calculated values
For the total energy, the calculation gives -3.2458 eV/atom. For the energy of formation from the pure elements, the calculation gives -0.565 eV/atom. The offset from the most stable computed form comes out at 0.007 eV per atom. As for the calculated volume: 45.01 A^3/atom. The total magnetic moment is 0.00 μB/cell. The space group is P2_1/c (14).

***

[6]
A geometry-optimized BaPtAu2 structure. Source: the Alexandria database, functional GGA-PBE.

Structure (CIF):
```
data_BaPtAu2
_chemical_formula_sum 'Ba2 Pt2 Au4'
_space_group_name_H-M_alt 'P 1'
_space_group_IT_number 1
_space_group_name_Hall 'P 1'
_cell_length_a 10.072
_cell_length_b 10.072
_cell_length_c 10.072
_cell_angle_alpha 150.41
_cell_angle_beta 150.41
_cell_angle_gamma 42.34
loop_
_atom_site_label
_atom_site_type_symbol
_atom_site_fract_x
_atom_site_fract_y
_atom_site_fract_z
_atom_site_occupancy
Ba1 Ba 0.375 0.625 0.750 1
Ba2 Ba 0.625 0.375 0.250 1
Pt1 Pt 0.125 0.875 0.250 1
Pt2 Pt 0.875 0.125 0.750 1
Au1 Au 0.000 0.000 0.000 1
Au2 Au 0.000 0.000 0.500 1
Au3 Au 0.000 0.500 0.000 1
Au4 Au 0.500 0.000 0.500 1
```

Calculated values
For the total energy, the calculation gives -4.0690 eV/atom. For the energy of formation from the pure elements, the calculation gives -0.439 eV/atom. The offset from the most stable computed form comes out at 0.077 eV per atom. As for the calculated volume: 31.07 A^3/atom. The total magnetic moment is 0.00 μB/cell. The space group is I4_1/amd (141).

***

[7]
A geometry-optimized Ba2PtAu structure. Source: the Alexandria database, functional GGA-PBE.

Structure (CIF):
```
data_Ba2PtAu
_chemical_formula_sum 'Ba12 Pt6 Au6'
_space_group_name_H-M_alt 'P 1'
_space_group_IT_number 1
_space_group_name_Hall 'P 1'
_cell_length_a 4.824
_cell_length_b 13.385
_cell_length_c 12.074
_cell_angle_alpha 90.00
_cell_angle_beta 90.00
_cell_angle_gamma 90.00
loop_
_atom_site_label
_atom_site_type_symbol
_atom_site_fract_x
_atom_site_fract_y
_atom_site_fract_z
_atom_site_occupancy
Ba1 Ba 0.000 0.078 0.000 1
Ba2 Ba 0.000 0.245 0.510 1
Ba3 Ba 0.000 0.416 0.009 1
Ba4 Ba 0.000 0.584 0.509 1
Ba5 Ba 0.000 0.755 0.010 1
Ba6 Ba 0.000 0.922 0.500 1
Ba7 Ba 0.500 0.088 0.727 1
Ba8 Ba 0.500 0.256 0.237 1
Ba9 Ba 0.500 0.417 0.735 1
Ba10 Ba 0.500 0.583 0.235 1
Ba11 Ba 0.500 0.744 0.737 1
Ba12 Ba 0.500 0.912 0.227 1
Pt1 Pt 0.000 0.248 0.792 1
Pt2 Pt 0.000 0.416 0.294 1
Pt3 Pt 0.000 0.584 0.794 1
Pt4 Pt 0.000 0.752 0.292 1
Pt5 Pt 0.500 0.084 0.445 1
Pt6 Pt 0.500 0.916 0.945 1
Au1 Au 0.000 0.084 0.288 1
Au2 Au 0.000 0.916 0.788 1
Au3 Au 0.500 0.250 0.947 1
Au4 Au 0.500 0.418 0.449 1
Au5 Au 0.500 0.582 0.949 1
Au6 Au 0.500 0.750 0.447 1
```

Calculated values
For the total energy, the calculation gives -4.0273 eV/atom. For the energy of formation from the pure elements, the calculation gives -0.736 eV/atom. As for the calculated volume: 32.49 A^3/atom. The total magnetic moment is 0.00 μB/cell. The space group is Pmc2_1 (26).

***

[8]
A geometry-optimized BaPt2Au3 structure. Source: the Alexandria database, functional GGA-PBE.

Structure (CIF):
```
data_BaPt2Au3
_chemical_formula_sum 'Ba2 Pt4 Au6'
_space_group_name_H-M_alt 'P 1'
_space_group_IT_number 1
_space_group_name_Hall 'P 1'
_cell_length_a 7.034
_cell_length_b 7.034
_cell_length_c 5.607
_cell_angle_alpha 90.00
_cell_angle_beta 90.00
_cell_angle_gamma 81.75
loop_
_atom_site_label
_atom_site_type_symbol
_atom_site_fract_x
_atom_site_fract_y
_atom_site_fract_z
_atom_site_occupancy
Ba1 Ba 0.184 0.816 0.750 1
Ba2 Ba 0.816 0.184 0.250 1
Pt1 Pt 0.275 0.275 0.000 1
Pt2 Pt 0.275 0.275 0.500 1
Pt3 Pt 0.725 0.725 0.000 1
Pt4 Pt 0.725 0.725 0.500 1
Au1 Au 0.041 0.565 0.250 1
Au2 Au 0.435 0.959 0.250 1
Au3 Au 0.444 0.556 0.250 1
Au4 Au 0.556 0.444 0.750 1
Au5 Au 0.565 0.041 0.750 1
Au6 Au 0.959 0.435 0.750 1
```

Calculated values
For the total energy, the calculation gives -4.3678 eV/atom. For the energy of formation from the pure elements, the calculation gives -0.395 eV/atom. As for the calculated volume: 22.88 A^3/atom. The total magnetic moment is 0.00 μB/cell. The space group is Cmcm (63).

***

[9]
A geometry-optimized Ba4Pt3Au structure. Source: the Alexandria database, functional GGA-PBE.

Structure (CIF):
```
data_Ba4Pt3Au
_chemical_formula_sum 'Ba4 Pt3 Au1'
_space_group_name_H-M_alt 'P 1'
_space_group_IT_number 1
_space_group_name_Hall 'P 1'
_cell_length_a 4.434
_cell_length_b 4.798
_cell_length_c 11.849
_cell_angle_alpha 90.00
_cell_angle_beta 90.00
_cell_angle_gamma 90.00
loop_
_atom_site_label
_atom_site_type_symbol
_atom_site_fract_x
_atom_site_fract_y
_atom_site_fract_z
_atom_site_occupancy
Ba1 Ba 0.000 0.000 0.000 1
Ba2 Ba 0.000 0.500 0.265 1
Ba3 Ba 0.500 0.000 0.482 1
Ba4 Ba 0.500 0.500 0.770 1
Pt1 Pt 0.000 0.500 0.556 1
Pt2 Pt 0.500 0.000 0.206 1
Pt3 Pt 0.500 0.500 0.052 1
Au1 Au 0.000 0.000 0.700 1
```

Calculated values
For the total energy, the calculation gives -4.3712 eV/atom. For the energy of formation from the pure elements, the calculation gives -0.735 eV/atom. As for the calculated volume: 31.51 A^3/atom. The total magnetic moment is 0.00 μB/cell. The space group is Pmm2 (25).

***

[10]
A geometry-optimized Ba12Pt2Au5 structure. Source: the Alexandria database, functional GGA-PBE.

Structure (CIF):
```
data_Ba12Pt2Au5
_chemical_formula_sum 'Ba12 Pt2 Au5'
_space_group_name_H-M_alt 'P 1'
_space_group_IT_number 1
_space_group_name_Hall 'P 1'
_cell_length_a 9.750
_cell_length_b 9.750
_cell_length_c 11.472
_cell_angle_alpha 104.56
_cell_angle_beta 104.56
_cell_angle_gamma 55.97
loop_
_atom_site_label
_atom_site_type_symbol
_atom_site_fract_x
_atom_site_fract_y
_atom_site_fract_z
_atom_site_occupancy
Ba1 Ba 0.037 0.037 0.333 1
Ba2 Ba 0.062 0.573 0.353 1
Ba3 Ba 0.121 0.615 0.985 1
Ba4 Ba 0.385 0.879 0.015 1
Ba5 Ba 0.427 0.938 0.647 1
Ba6 Ba 0.448 0.448 0.665 1
Ba7 Ba 0.552 0.552 0.335 1
Ba8 Ba 0.573 0.062 0.353 1
Ba9 Ba 0.615 0.121 0.985 1
Ba10 Ba 0.879 0.385 0.015 1
Ba11 Ba 0.938 0.427 0.647 1
Ba12 Ba 0.963 0.963 0.667 1
Pt1 Pt 0.252 0.748 0.500 1
Pt2 Pt 0.748 0.252 0.500 1
Au1 Au 0.212 0.212 0.875 1
Au2 Au 0.242 0.242 0.484 1
Au3 Au 0.500 0.500 0.000 1
Au4 Au 0.758 0.758 0.516 1
Au5 Au 0.788 0.788 0.125 1
```

Calculated values
For the total energy, the calculation gives -3.2729 eV/atom. For the energy of formation from the pure elements, the calculation gives -0.560 eV/atom. As for the calculated volume: 45.60 A^3/atom. The total magnetic moment is 0.00 μB/cell. The space group is C2/m (12).